# CdCuTc2

An optimized crystal structure of CdCuTc2 (PBE, Alexandria).

a b c (Å): 5.2697 5.2856 2.6458
angles (deg): 83.41 74.22 115.50
Fractional positions:
Cd 0.0000 0.5000 0.5000
Cu 0.5000 0.5000 0.0000
Tc 0.0000 0.0000 0.0000
Tc 0.5000 0.0000 0.5000

Properties
Crystal system: monoclinic
E_form (eV/atom): 0.462



# AcBe2Pt3

An optimized crystal structure of AcBe2Pt3 (PBE, Alexandria).

a b c (Å): 4.2744 6.6460 8.0333
angles (deg): 99.25 105.43 90.00
Fractional positions:
Ac 0.1105 0.1985 0.2210
Ac 0.8895 0.8015 0.7790
Be 0.5561 0.6449 0.1121
Be 0.4439 0.3551 0.8879
Be 0.2274 0.7569 0.4548
Be 0.7726 0.2431 0.5452
Pt 0.6893 0.9208 0.3786
Pt 0.0807 0.6783 0.1615
Pt 0.3076 0.4846 0.6152
Pt 0.6924 0.5154 0.3848
Pt 0.9193 0.3217 0.8385
Pt 0.3107 0.0792 0.6214

Properties
Crystal system: monoclinic
E_form (eV/atom): -0.717



# MgSiTc2

An optimized crystal structure of MgSiTc2 (PBE, Alexandria).

a b c (Å): 3.0687 3.0687 6.2745
angles (deg): 90.00 90.00 90.00
Fractional positions:
Mg 0.0000 0.0000 0.5038
Si 0.5000 0.5000 0.7782
Tc 0.0000 0.0000 0.9814
Tc 0.5000 0.5000 0.2367

Properties
Polymorph energy (0 for the lowest one) (meV per atom): 0
Crystal system: tetragonal
ΔE_f (raw) (meV/atom): -117



# Hf3ScTc2

An optimized crystal structure of Hf3ScTc2 (PBE, Alexandria).

a b c (Å): 3.2986 3.2986 10.7682
angles (deg): 90.00 90.00 90.00
Fractional positions:
Hf 0.0000 0.0000 0.0000
Hf 0.0000 0.0000 0.7075
Hf 0.0000 0.0000 0.2925
Sc 0.5000 0.5000 0.5000
Tc 0.5000 0.5000 0.8434
Tc 0.5000 0.5000 0.1566

Properties
Crystal system: tetragonal
E_form (eV/atom): -0.314



# Zn2Ni2Os

An optimized crystal structure of Zn2Ni2Os (PBE, Alexandria).

a b c (Å): 3.3720 3.3720 6.3668
angles (deg): 74.64 74.64 90.00
Fractional positions:
Ni 0.7500 0.2500 0.5000
Ni 0.2500 0.7500 0.5000
Zn 0.3979 0.3979 0.2042
Zn 0.6021 0.6021 0.7958
Os 0.0000 0.0000 0.0000

Properties
Polymorph energy (0 for the lowest one) (meV per atom): 354
Crystal system: tetragonal
E_form (eV/atom): 0.471



# Al2NiSe

An optimized crystal structure of Al2NiSe (PBE, Alexandria).

a b c (Å): 2.9110 2.9106 7.3793
angles (deg): 90.00 90.00 90.01
Fractional positions:
Ni 0.5000 0.5000 0.2500
Al 0.0000 0.0000 0.0534
Al 0.0000 0.0000 0.4466
Se 0.5000 0.5000 0.7500

Properties
Crystal system: tetragonal
ΔE_f (raw) (meV/atom): -150



# Sm2Be2Ru2C

An optimized crystal structure of Sm2Be2Ru2C (PBE, Alexandria).

a b c (Å): 3.9821 5.9099 5.7641
angles (deg): 73.70 69.79 70.31
Fractional positions:
Sm 0.5627 0.1800 0.6946
Sm 0.4373 0.8200 0.3054
Be 0.1717 0.3917 0.2648
Be 0.8283 0.6083 0.7352
Ru 0.2030 0.6892 0.9048
Ru 0.7970 0.3108 0.0952
C 0.0000 0.0000 0.0000

Properties
Crystal system: monoclinic
E_form (eV/atom): -0.257



# LiAl2W2

An optimized crystal structure of LiAl2W2 (PBE, Alexandria).

a b c (Å): 6.5462 6.5462 3.6240
angles (deg): 90.00 90.00 90.00
Fractional positions:
Al 0.3600 0.8600 0.0000
Al 0.8600 0.6400 0.0000
Al 0.6400 0.1400 0.0000
Al 0.1400 0.3600 0.0000
W 0.1558 0.6558 0.5000
W 0.6558 0.8442 0.5000
W 0.8442 0.3442 0.5000
W 0.3442 0.1558 0.5000
Li 0.0000 0.0000 0.0000
Li 0.5000 0.5000 0.0000

Properties
Crystal system: tetragonal
E_form (eV/atom): 0.383



# LaReW2

An optimized crystal structure of LaReW2 (PBE, Alexandria).

a b c (Å): 4.3187 2.8916 6.5406
angles (deg): 81.58 90.00 90.00
Fractional positions:
La 0.0000 0.4976 0.5054
Re 0.5000 0.7267 0.8195
W 0.0000 0.0003 0.9951
W 0.5000 0.2754 0.1800

Properties
Polymorph energy (0 for the lowest one) (meV per atom): 123
Crystal system: monoclinic
E_form (eV/atom): 0.554



# Dy2ErScIn2

An optimized crystal structure of Dy2ErScIn2 (PBE, Alexandria).

a b c (Å): 5.2719 6.6472 9.1544
angles (deg): 90.00 90.00 90.00
Fractional positions:
Dy 0.5000 0.0078 0.0021
Dy 0.0000 0.2604 0.1645
Dy 0.5000 0.5078 0.9979
Dy 0.0000 0.7604 0.8355
Er 0.0000 0.0071 0.4982
Er 0.0000 0.5071 0.5018
Sc 0.5000 0.2549 0.6692
Sc 0.5000 0.7549 0.3308
In 0.0000 0.2586 0.8237
In 0.5000 0.2567 0.3441
In 0.0000 0.7586 0.1763
In 0.5000 0.7567 0.6559

Properties
Crystal system: orthorhombic
E_form (eV/atom): -0.354



# AlZn2Cu

An optimized crystal structure of AlZn2Cu (PBE, Alexandria).

a b c (Å): 5.9340 5.9340 5.9340
angles (deg): 154.19 138.02 49.94
Fractional positions:
Zn 0.0393 0.0393 0.0000
Zn 0.4607 0.4607 0.0000
Al 0.7500 0.2500 0.5000
Cu 0.2500 0.7500 0.5000

Properties
Crystal system: orthorhombic
E_form (eV/atom): -0.040



# CaHg3Pd7

An optimized crystal structure of CaHg3Pd7 (PBE, Alexandria).

a b c (Å): 5.3710 7.3329 7.3329
angles (deg): 80.27 119.82 119.82
Fractional positions:
Ca 0.5000 0.5000 0.5000
Hg 0.0000 0.7851 0.2149
Hg 0.5000 0.0000 0.0000
Hg 0.0000 0.2149 0.7851
Pd 0.3894 0.2127 0.2127
Pd 0.3163 0.0477 0.5769
Pd 0.6837 0.4231 0.9523
Pd 0.3163 0.5769 0.0477
Pd 0.0000 0.5000 0.5000
Pd 0.6837 0.9523 0.4231
Pd 0.6106 0.7873 0.7873

Properties
Crystal system: monoclinic
E_form (eV/atom): -0.084



# PaSiCl

An optimized crystal structure of PaSiCl (PBE, Alexandria).

a b c (Å): 3.2330 5.5880 8.2185
angles (deg): 78.79 90.00 106.81
Fractional positions:
Pa 0.2447 0.4894 0.7801
Pa 0.7553 0.5106 0.2199
Si 0.0578 0.1157 0.1056
Si 0.9422 0.8843 0.8944
Cl 0.1340 0.2680 0.4834
Cl 0.8660 0.7320 0.5166

Properties
Polymorph energy (0 for the lowest one) (meV per atom): 570
Crystal system: monoclinic
ΔE_f (raw) (meV/atom): -469



# Tb5Pm12Tm2

An optimized crystal structure of Tb5Pm12Tm2 (PBE, Alexandria).

a b c (Å): 9.2621 12.4684 8.7375
angles (deg): 132.55 90.00 111.80
Fractional positions:
Tb 0.2969 0.5939 0.6213
Tb 0.2311 0.4621 0.8946
Tb 0.0000 0.0000 0.5000
Tb 0.7689 0.5379 0.1054
Tb 0.7031 0.4061 0.3787
Pm 0.0801 0.1602 0.2778
Pm 0.0314 0.6993 0.9367
Pm 0.6679 0.6993 0.9367
Pm 0.1750 0.7422 0.4216
Pm 0.5672 0.7422 0.4216
Pm 0.5596 0.1192 0.7773
Pm 0.4404 0.8808 0.2227
Pm 0.8250 0.2578 0.5784
Pm 0.4328 0.2578 0.5784
Pm 0.9686 0.3007 0.0633
Pm 0.3321 0.3007 0.0633
Pm 0.9199 0.8398 0.7222
Tm 0.6710 0.0000 0.0000
Tm 0.3290 0.0000 0.0000

Properties
Polymorph energy (0 for the lowest one) (meV per atom): 0
Crystal system: monoclinic
E_form (eV/atom): 0.117



# AgGe2Pt

An optimized crystal structure of AgGe2Pt (PBE, Alexandria).

a b c (Å): 6.4691 6.4691 6.2515
angles (deg): 58.84 58.84 90.00
Fractional positions:
Ge 0.6471 0.1250 0.2500
Ge 0.1029 0.6250 0.2500
Ge 0.3750 0.3529 0.7500
Ge 0.8750 0.8971 0.7500
Ag 0.5000 0.5000 0.0000
Ag 0.2500 0.7500 0.5000
Pt 0.0000 0.0000 0.0000
Pt 0.7500 0.2500 0.5000

Properties
Polymorph energy (0 for the lowest one) (meV per atom): 166
Crystal system: tetragonal
E_form (eV/atom): 0.132



# CuGeSCl2

An optimized crystal structure of CuGeSCl2 (PBE, Alexandria).

a b c (Å): 4.5827 4.5827 4.8268
angles (deg): 90.00 90.00 90.00
Fractional positions:
Ge 0.5000 0.5000 0.5000
S 0.0000 0.0000 0.5000
Cu 0.0000 0.0000 0.0000
Cl 0.0000 0.5000 0.0000
Cl 0.5000 0.0000 0.0000

Properties
Polymorph energy (0 for the lowest one) (meV per atom): 0
Crystal system: tetragonal
ΔE_f (raw) (meV/atom): -15



# Pa2GePRh6

An optimized crystal structure of Pa2GePRh6 (PBE, Alexandria).

a b c (Å): 5.5340 7.8184 8.4125
angles (deg): 90.00 90.00 90.00
Fractional positions:
Pa 0.5000 0.7449 0.2436
Pa 0.0000 0.2551 0.7436
Pa 0.5000 0.7449 0.7564
Pa 0.0000 0.2551 0.2564
Ge 0.0000 0.7157 0.5000
Ge 0.5000 0.2843 0.0000
P 0.5000 0.2308 0.5000
P 0.0000 0.7692 0.0000
Rh 0.5000 0.1111 0.2513
Rh 0.5000 0.1111 0.7487
Rh 0.0000 0.8889 0.2487
Rh 0.0000 0.8889 0.7513
Rh 0.2543 0.9820 0.5000
Rh 0.7457 0.9820 0.5000
Rh 0.2473 0.4591 0.5000
Rh 0.7527 0.4591 0.5000
Rh 0.7473 0.5409 0.0000
Rh 0.2527 0.5409 0.0000
Rh 0.2457 0.0180 0.0000
Rh 0.7543 0.0180 0.0000

Properties
Crystal system: orthorhombic
E_form (eV/atom): -0.668



# RbTl3Cu2Cl9

An optimized crystal structure of RbTl3Cu2Cl9 (PBE, Alexandria).

a b c (Å): 6.9601 6.9601 10.6030
angles (deg): 90.00 90.00 120.00
Fractional positions:
Rb 0.0000 0.0000 0.5000
Tl 0.3333 0.6667 0.7595
Tl 0.0000 0.0000 0.0000
Tl 0.6667 0.3333 0.2405
Cu 0.3333 0.6667 0.1421
Cu 0.6667 0.3333 0.8579
Cl 0.8296 0.1704 0.7408
Cl 0.8296 0.6592 0.7408
Cl 0.3408 0.1704 0.7408
Cl 0.6592 0.8296 0.2592
Cl 0.1704 0.3408 0.2592
Cl 0.1704 0.8296 0.2592
Cl 0.5000 0.0000 0.0000
Cl 0.0000 0.5000 0.0000
Cl 0.5000 0.5000 0.0000

Properties
Crystal system: trigonal
ΔE_f (raw) (meV/atom): -823



# TbVNi2

An optimized crystal structure of TbVNi2 (PBE, Alexandria).

a b c (Å): 4.0733 4.0733 5.3101
angles (deg): 67.45 67.45 60.00
Fractional positions:
Ni 0.7000 0.7000 0.9001
Ni 0.3000 0.3000 0.0999
Tb 0.5000 0.5000 0.5000
V 0.0000 0.0000 0.0000

Properties
Crystal system: trigonal
E_form (eV/atom): -0.229



# Ce6NdSe8

An optimized crystal structure of Ce6NdSe8 (PBE, Alexandria).

a b c (Å): 8.3991 8.3991 8.3991
angles (deg): 60.00 60.00 60.00
Fractional positions:
Ce 0.0000 0.5000 0.5000
Ce 0.5000 0.0000 0.0000
Ce 0.5000 0.5000 0.0000
Ce 0.0000 0.0000 0.5000
Ce 0.0000 0.5000 0.0000
Ce 0.5000 0.0000 0.5000
Nd 0.0000 0.0000 0.0000
Se 0.7500 0.7500 0.7500
Se 0.2500 0.2500 0.2500
Se 0.7471 0.2529 0.2529
Se 0.2529 0.7471 0.7471
Se 0.2529 0.2529 0.7471
Se 0.7471 0.7471 0.2529
Se 0.7471 0.2529 0.7471
Se 0.2529 0.7471 0.2529

Properties
Crystal system: cubic
ΔE_f (raw) (meV/atom): -1833



# Er2Ga3Co2

An optimized crystal structure of Er2Ga3Co2 (PBE, Alexandria).

a b c (Å): 3.9813 5.2800 6.8325
angles (deg): 112.99 90.00 112.15
Fractional positions:
Er 0.8548 0.7095 0.2246
Er 0.1452 0.2905 0.7754
Ga 0.5000 0.0000 0.0000
Ga 0.6392 0.2784 0.4461
Ga 0.3608 0.7216 0.5539
Co 0.8690 0.7379 0.8021
Co 0.1310 0.2621 0.1979

Properties
Crystal system: monoclinic
E_form (eV/atom): -0.521



# RbAuI3

An optimized crystal structure of RbAuI3 (PBE, Alexandria).

a b c (Å): 4.8305 8.0032 8.0032
angles (deg): 129.39 90.00 90.00
Fractional positions:
I 0.5000 0.5392 0.9865
I 0.5000 0.0135 0.4608
I 0.0000 0.5234 0.4766
Au 0.5000 0.4269 0.5731
Rb 0.0000 0.1251 0.8749

Properties
Crystal system: orthorhombic
ΔE_f (raw) (meV/atom): -539



# LiPmPrOs

An optimized crystal structure of LiPmPrOs (PBE, Alexandria).

a b c (Å): 5.0608 5.0608 5.0608
angles (deg): 60.00 60.00 60.00
Fractional positions:
Pr 0.7500 0.7500 0.7500
Li 0.5000 0.5000 0.5000
Os 0.0000 0.0000 0.0000
Pm 0.2500 0.2500 0.2500

Properties
Crystal system: cubic
E_form (eV/atom): -0.074



# HfTh2S6

An optimized crystal structure of HfTh2S6 (PBE, Alexandria).

a b c (Å): 6.3325 6.3325 12.3097
angles (deg): 90.00 90.00 90.00
Fractional positions:
Hf 0.5000 0.5000 0.0000
Hf 0.0000 0.0000 0.5000
Th 0.5000 0.5000 0.3312
Th 0.5000 0.5000 0.6688
Th 0.0000 0.0000 0.1688
Th 0.0000 0.0000 0.8312
S 0.6893 0.6893 0.1530
S 0.6893 0.6893 0.8470
S 0.7075 0.7075 0.5000
S 0.7925 0.2075 0.0000
S 0.8107 0.1893 0.3470
S 0.8107 0.1893 0.6530
S 0.1893 0.8107 0.3470
S 0.1893 0.8107 0.6530
S 0.2075 0.7925 0.0000
S 0.2925 0.2925 0.5000
S 0.3107 0.3107 0.1530
S 0.3107 0.3107 0.8470

Properties
Crystal system: tetragonal
ΔE_f (raw) (meV/atom): -1706